The following is a DFT calculation (GGA-PBE) of a relaxed TcNi2 crystal.

a b c (Å): 2.514 3.913 15.876
angles (deg): 90.00 90.00 90.00
Atoms (fractional coordinates):
Tc  0.000  0.250  0.110
Tc  0.000  0.750  0.890
Tc  0.500  0.250  0.390
Tc  0.500  0.750  0.610
Ni  0.000  0.250  0.538
Ni  0.000  0.250  0.687
Ni  0.000  0.750  0.313
Ni  0.000  0.750  0.462
Ni  0.500  0.250  0.813
Ni  0.500  0.250  0.962
Ni  0.500  0.750  0.038
Ni  0.500  0.750  0.187

The following is a DFT calculation (GGA-PBE) of a relaxed LaCoOs crystal.

a b c (Å): 2.874 3.734 10.480
angles (deg): 90.00 90.00 90.00
Atoms (fractional coordinates):
La  0.000  0.000  0.000
La  0.500  0.500  0.500
Co  0.000  0.000  0.285
Co  0.500  0.500  0.785
Os  0.000  0.000  0.713
Os  0.500  0.500  0.213

The following is a DFT calculation (GGA-PBE) of a relaxed LiCdTc3 crystal.

a b c (Å): 4.883 4.883 4.883
angles (deg): 90.00 90.00 90.00
Atoms (fractional coordinates):
Li  0.000  0.000  0.000
Cd  0.500  0.500  0.500
Tc  0.000  0.500  0.500
Tc  0.500  0.000  0.500
Tc  0.500  0.500  0.000

The following is a DFT calculation (GGA-PBE) of a relaxed PmY12Er5 crystal.

a b c (Å): 10.679 10.679 5.027
angles (deg): 90.00 90.00 90.08
Atoms (fractional coordinates):
Pm  0.000  0.000  0.000
Y  0.001  0.667  0.000
Y  0.167  0.167  0.500
Y  0.169  0.501  0.500
Y  0.333  0.999  0.000
Y  0.335  0.335  0.000
Y  0.499  0.831  0.500
Y  0.501  0.169  0.500
Y  0.665  0.665  0.000
Y  0.667  0.001  0.000
Y  0.831  0.499  0.500
Y  0.833  0.833  0.500
Y  0.999  0.333  0.000
Er  0.168  0.832  0.500
Er  0.333  0.667  0.000
Er  0.500  0.500  0.500
Er  0.667  0.333  0.000
Er  0.832  0.168  0.500

The following is a DFT calculation (GGA-PBE) of a relaxed SrTm2P2N6 crystal.

a b c (Å): 5.389 5.926 6.044
angles (deg): 118.32 99.77 102.24
Atoms (fractional coordinates):
Sr  0.000  0.000  0.000
Tm  0.229  0.732  0.436
Tm  0.771  0.268  0.564
P  0.360  0.453  0.794
P  0.640  0.547  0.206
N  0.213  0.645  0.754
N  0.302  0.164  0.519
N  0.302  0.422  0.051
N  0.698  0.578  0.949
N  0.698  0.836  0.481
N  0.787  0.355  0.246

Values from the calculation:
* formation energy without anion corrections: -1096 meV per atom

The following is a DFT calculation (GGA-PBE) of a relaxed LiAg2C2N2O2 crystal.

a b c (Å): 3.266 8.855 5.684
angles (deg): 90.00 105.72 90.00
Atoms (fractional coordinates):
Li  0.000  0.000  0.000
Ag  0.436  0.294  0.795
Ag  0.436  0.706  0.795
C  0.277  0.000  0.566
C  0.901  0.500  0.223
N  0.402  0.000  0.789
N  0.681  0.500  0.014
O  0.124  0.500  0.431
O  0.152  0.000  0.347

Values from the calculation:
* formation energy without anion corrections: -266 meV per atom

no.,VASP energy (eV for the cell shown)
1,-84.84
2,-44.91
3,-21.34
4,-104.68
5,-83.45
6,-55.03